# Ca6H2N3Cl

Ca6H2N3Cl after structural relaxation (PBE, the Alexandria database).

Lattice parameters (Å, degrees): 3.610 7.489 8.356 105.90 102.48 90.00
Atoms (fractional coordinates):
1 Ca 0.320 0.942 0.640
2 Ca 0.659 0.604 0.317
3 Ca 0.680 0.058 0.360
4 Ca 0.987 0.285 0.973
5 Ca 0.013 0.715 0.027
6 Ca 0.341 0.396 0.683
7 H 0.830 0.662 0.659
8 H 0.170 0.338 0.341
9 N 0.500 0.500 0.000
10 N 0.832 0.171 0.663
11 N 0.168 0.829 0.337
12 Cl 0.500 0.000 0.000

Calculated values
The calculation puts the electronic total energy at -57.972 eV/cell. The volume comes out at 17.643 Å³ per atom. The size of the total moment comes out at 0.11 μB/f.u. The calculation puts the density of states at the Fermi level at 0.00 states/eV/f.u.

=====

# Mg2CdInHg4

Mg2CdInHg4 after structural relaxation (PBE, the Alexandria database).

Lattice parameters (Å, degrees): 5.075 5.075 8.860 73.36 73.36 60.00
Atoms (fractional coordinates):
1 Mg 0.750 0.750 0.751
2 Mg 0.250 0.250 0.249
3 Cd 0.500 0.500 0.500
4 In 0.000 0.000 0.000
5 Hg 0.377 0.377 0.869
6 Hg 0.874 0.874 0.379
7 Hg 0.126 0.126 0.621
8 Hg 0.623 0.623 0.131

Calculated values
The calculation puts the electronic total energy at -8.726 eV/cell. The value obtained for the energy relative to the elements is -0.7 eV/f.u. The volume comes out at 23.310 Å³ per atom. The size of the total moment comes out at 0.00 μB/f.u. The calculation puts the density of states at the Fermi level at 2.20 states/eV/f.u.